[1]
## TlCd2Hg8Bi (PBE)

Data for a relaxed TlCd2Hg8Bi crystal.

Computed properties:
SG ... No. 12
E ... -0.813 eV per atom
Spin magnetization ... 0.00 μB per cell

POSCAR file:
```
TlCd2Hg8Bi
1.0
5.979 -3.125 0.000
5.979 3.125 0.000
-3.119 0.000 9.276
Tl Cd Hg Bi
1 2 8 1
Direct
0.000 0.000 0.000
0.308 0.308 0.639
0.692 0.692 0.361
0.101 0.605 0.226
0.117 0.117 0.354
0.367 0.367 0.965
0.395 0.899 0.774
0.605 0.101 0.226
0.633 0.633 0.035
0.883 0.883 0.646
0.899 0.395 0.774
0.500 0.500 0.500
```


[2]
## TlCd4HgBi2 (PBE)

Data for a relaxed TlCd4HgBi2 crystal.

Computed properties:
SG ... No. 15
E ... -1.685 eV per atom
Spin magnetization ... 0.00 μB per cell

POSCAR file:
```
TlCd4HgBi2
1.0
6.263 -6.262 0.000
6.263 6.262 0.000
-3.861 0.000 5.822
Tl Cd Hg Bi
2 8 2 4
Direct
0.000 0.500 0.000
0.500 0.000 0.500
0.236 0.246 0.490
0.246 0.236 0.990
0.250 0.750 0.503
0.250 0.750 0.997
0.750 0.250 0.003
0.750 0.250 0.497
0.754 0.764 0.010
0.764 0.754 0.510
0.000 0.000 0.000
0.000 0.000 0.500
0.000 0.500 0.500
0.500 0.000 0.000
0.500 0.500 0.000
0.500 0.500 0.500
```


[3]
## TlCdHg2Bi (PBE)

Data for a relaxed TlCdHg2Bi crystal.

Computed properties:
SG ... No. 123
E ... -1.288 eV per atom
Spin magnetization ... 0.00 μB per cell

POSCAR file:
```
TlCdHg2Bi
1.0
5.912 0.000 0.000
0.000 5.912 0.000
0.000 0.000 5.942
Tl Cd Hg Bi
1 1 2 1
Direct
0.000 0.000 0.000
0.500 0.500 0.000
0.000 0.500 0.500
0.500 0.000 0.500
0.500 0.500 0.500
```


[4]
## TlCd2HgBi (PBE)

Data for a relaxed TlCd2HgBi crystal.

Computed properties:
SG ... No. 11
E ... -1.645 eV per atom
Spin magnetization ... 0.00 μB per cell

POSCAR file:
```
TlCd2HgBi
1.0
9.028 0.000 0.000
0.000 3.440 0.000
-3.163 0.000 8.966
Tl Cd Hg Bi
2 4 2 2
Direct
0.081 0.250 0.191
0.919 0.750 0.809
0.128 0.250 0.600
0.487 0.750 0.236
0.513 0.250 0.764
0.872 0.750 0.400
0.336 0.750 0.472
0.664 0.250 0.528
0.278 0.250 0.947
0.722 0.750 0.053
```


Q: The highest E belongs to which entry?
A: TlCd2Hg8Bi


Q: Number 2 is which compound?
A: TlCd4HgBi2


Q: Which value of E does entry 3 give?
A: -1.288 eV per atom